Entry 1:
This record from Alexandria describes an optimized crystal structure of NpHg2Br4. The functional is PBE-GGA.

Its symmetry is I4/mmm, No. 139. As for the volume: 324.83 Å³ per cell. The value obtained for the formation energy (no corrections) is -781 meV per atom. For the total magnetization, the calculation gives 3.0 μB per formula unit. For the polymorph energy (0 for the lowest one), the calculation gives 73 meV per atom. The calculation puts the theoretical density at 4896 kg/m3.

Unit cell a=10.893 b=10.893 c=10.893 alpha=149.87 beta=149.87 gamma=43.13
Fractional coordinates of all 7 atoms:
Np: 0.000 0.000 0.000
Hg: 0.315 0.315 0.000
Hg: 0.685 0.685 0.000
Br: 0.000 0.500 0.500
Br: 0.131 0.131 0.000
Br: 0.500 0.000 0.500
Br: 0.869 0.869 0.000

=====

Entry 2:
This record from Alexandria describes an optimized crystal structure of Np3Hg2Br8. The functional is PBE-GGA.

Its symmetry is C2/m, No. 12. As for the volume: 607.15 Å³ per cell. The value obtained for the formation energy (no corrections) is -1043 meV per atom. For the total magnetization, the calculation gives 13.0 μB per formula unit. The calculation puts the theoretical density at 4790 kg/m3.

Unit cell a=10.479 b=10.479 c=7.419 alpha=90.12 beta=90.12 gamma=48.18
Fractional coordinates of all 13 atoms:
Np: 0.000 0.000 0.000
Np: 0.255 0.745 0.500
Np: 0.745 0.255 0.500
Hg: 0.256 0.256 0.002
Hg: 0.744 0.744 0.998
Br: 0.086 0.086 0.333
Br: 0.157 0.678 0.174
Br: 0.322 0.843 0.826
Br: 0.410 0.410 0.634
Br: 0.590 0.590 0.366
Br: 0.678 0.157 0.174
Br: 0.843 0.322 0.826
Br: 0.914 0.914 0.667

=====

Entry 3:
This record from Alexandria describes an optimized crystal structure of NpHg2Br4. The functional is PBE-GGA.

Its symmetry is P-1, No. 2. As for the volume: 576.65 Å³ per cell. The value obtained for the formation energy (no corrections) is -854 meV per atom. For the total magnetization, the calculation gives 3.4 μB per formula unit. For the polymorph energy (0 for the lowest one), the calculation gives 0 meV per atom. The calculation puts the theoretical density at 5516 kg/m3.

Unit cell a=6.558 b=8.839 c=10.140 alpha=86.92 beta=80.02 gamma=85.48
Fractional coordinates of all 14 atoms:
Np: 0.230 0.416 0.113
Np: 0.770 0.584 0.887
Hg: 0.221 0.149 0.566
Hg: 0.281 0.843 0.428
Hg: 0.719 0.157 0.572
Hg: 0.779 0.851 0.434
Br: 0.092 0.139 0.188
Br: 0.149 0.404 0.841
Br: 0.306 0.466 0.362
Br: 0.379 0.708 0.012
Br: 0.621 0.292 0.988
Br: 0.694 0.534 0.638
Br: 0.851 0.596 0.159
Br: 0.908 0.861 0.812